Material: ZrWAu4
Method: DFT, PBE
State: optimized geometry

Output
calculated formation energy: 0.39 eV/atom
SG: F-43m, No. 216
uncorrected energy: -32.29 eV per cell

Cell and atoms, written as POSCAR:
```
ZrWAu4
1.0
0.0000 3.8413 3.8413
3.8413 0.0000 3.8413
3.8413 3.8413 0.0000
Zr W Au
1 1 4
Cartesian
0.0000 0.0000 0.0000 Zr
1.9207 1.9207 1.9207 W
4.8005 2.8822 2.8822 Au
2.8822 4.8005 2.8822 Au
2.8822 2.8822 4.8005 Au
4.8005 4.8005 4.8005 Au
```